No. 1
Computed, not measured: Rb2CdPbI6 after structural relaxation at the PBE level of DFT.

Cell: 8.6309 8.6309 8.6309 Å, 60.38 60.38 60.38°
Element x y z (fractional)
Rb (0.0000, 0.0000, 0.0000)
Rb (0.4998, 0.4998, 0.4998)
Cd (0.7705, 0.7705, 0.7705)
Pb (0.2708, 0.2708, 0.2708)
I (0.0210, 0.4520, 0.6126)
I (0.0956, 0.9358, 0.5422)
I (0.4520, 0.6126, 0.0210)
I (0.5422, 0.0956, 0.9358)
I (0.6126, 0.0210, 0.4520)
I (0.9358, 0.5422, 0.0956)

Computed properties:
Calculated total energy in eV/cell: -25.2
Energy relative to the elements, uncorrected in meV/atom: -937
Crystal system: trigonal

No. 2
Computed, not measured: RbCdPbI5 after structural relaxation at the PBE level of DFT.

Cell: 8.8087 8.8087 11.6504 Å, 104.28 104.28 105.75°
Element x y z (fractional)
Rb (0.1502, 0.8498, 0.7500)
Rb (0.8498, 0.1502, 0.2500)
Cd (0.1829, 0.8171, 0.2500)
Cd (0.8171, 0.1829, 0.7500)
Pb (0.5000, 0.5000, 0.0000)
Pb (0.5000, 0.5000, 0.5000)
I (0.1181, 0.2433, 0.9452)
I (0.1661, 0.5870, 0.3827)
I (0.2433, 0.1181, 0.4452)
I (0.4103, 0.5897, 0.7500)
I (0.4130, 0.8339, 0.1173)
I (0.5870, 0.1661, 0.8827)
I (0.5897, 0.4103, 0.2500)
I (0.7567, 0.8819, 0.5548)
I (0.8339, 0.4130, 0.6173)
I (0.8819, 0.7567, 0.0548)

Computed properties:
Calculated total energy in eV/cell: -40.0
Energy relative to the elements, uncorrected in meV/atom: -833
Crystal system: monoclinic

No. 3
Computed, not measured: CdRhPb2I after structural relaxation at the PBE level of DFT.

Cell: 5.3109 5.3109 5.3509 Å, 90.00 90.00 90.00°
Element x y z (fractional)
Cd (0.0000, 0.0000, 0.0000)
Rh (0.0000, 0.0000, 0.5000)
Pb (0.0000, 0.5000, 0.5000)
Pb (0.5000, 0.0000, 0.5000)
I (0.5000, 0.5000, 0.0000)

Computed properties:
Calculated total energy in eV/cell: -18.0
Energy relative to the elements, uncorrected in meV/atom: -152
Crystal system: tetragonal

No. 4
Computed, not measured: Cd2RhPbI after structural relaxation at the PBE level of DFT.

Cell: 5.3245 5.3245 5.2498 Å, 90.00 90.00 90.00°
Element x y z (fractional)
Cd (0.0000, 0.5000, 0.0000)
Cd (0.5000, 0.0000, 0.0000)
Rh (0.0000, 0.0000, 0.0000)
Pb (0.0000, 0.0000, 0.5000)
I (0.5000, 0.5000, 0.5000)

Computed properties:
Calculated total energy in eV/cell: -14.8
Energy relative to the elements, uncorrected in meV/atom: -67
Crystal system: tetragonal